Compound: ZrV2Ge2
Source: Alexandria via LeMat-Bulk
Functional: GGA-PBE
Structure: relaxed

a b c (Å): 6.953 6.953 3.303
angles (deg): 90.00 90.00 90.00
Space group P4/mbm (No. 127)
Symmetry-distinct sites (fractional):
Zr (0.000, 0.000, 0.000)
V (0.164, 0.336, 0.500)
Ge (0.132, 0.632, 0.000)

Computed properties:
N(E_F) ... 0.58 states/eV/atom
Energy of formation from the pure elements ... -356 meV per atom
Energy relative to the lowest polymorph listed for this composition ... 92 meV per atom
V ... 15.97 Å³/atom